(1)
VASP calculation (PBE) on MnTc2H after structural relaxation.

## Properties
total DFT energy (no corrections): -8.034 eV per atom
energy above the most stable polymorph in this dataset: 0.0 kJ/mol of atoms
density: 9.2 g cm⁻³
magnetization: 0.37 μB/atom

The structure in POSCAR format:
```
MnTc2H
1.0
6.4466 0.0000 0.0000
0.0000 6.4466 0.0000
0.0000 0.0000 4.3770
Mn Tc H
4 8 4
Direct
0.0000 0.0000 0.0000 Mn
0.0000 0.5000 0.2500 Mn
0.5000 0.0000 0.7500 Mn
0.5000 0.5000 0.5000 Mn
0.1474 0.2500 0.6250 Tc
0.2500 0.6474 0.8750 Tc
0.2500 0.8526 0.3750 Tc
0.3526 0.2500 0.1250 Tc
0.6474 0.7500 0.1250 Tc
0.7500 0.1474 0.3750 Tc
0.7500 0.3526 0.8750 Tc
0.8526 0.7500 0.6250 Tc
0.0000 0.0000 0.5000 H
0.0000 0.5000 0.7500 H
0.5000 0.0000 0.2500 H
0.5000 0.5000 0.0000 H
```

---

(2)
VASP calculation (PBE) on MnTc3H after structural relaxation.

## Properties
total DFT energy (no corrections): -6.799 eV per atom
energy above the most stable polymorph in this dataset: 172.2 kJ/mol of atoms
density: 6.8 g cm⁻³
magnetization: 0.42 μB/atom

The structure in POSCAR format:
```
MnTc3H
1.0
4.4133 0.0000 0.0000
0.0000 4.4133 0.0000
0.0000 0.0000 4.4133
Mn Tc H
1 3 1
Direct
0.0000 0.0000 0.0000 Mn
0.0000 0.0000 0.5000 Tc
0.0000 0.5000 0.0000 Tc
0.5000 0.0000 0.0000 Tc
0.5000 0.5000 0.5000 H
```

---

(3)
VASP calculation (PBE) on Mn3TcH after structural relaxation.

## Properties
total DFT energy (no corrections): -8.200 eV per atom
energy above the most stable polymorph in this dataset: 0.0 kJ/mol of atoms
density: 8.9 g cm⁻³
magnetization: 0.48 μB/atom

The structure in POSCAR format:
```
Mn3TcH
1.0
3.6710 0.0000 0.0000
0.0000 3.6710 0.0000
0.0000 0.0000 3.6710
Mn Tc H
3 1 1
Direct
0.0000 0.0000 0.5000 Mn
0.0000 0.5000 0.0000 Mn
0.5000 0.0000 0.0000 Mn
0.5000 0.5000 0.5000 Tc
0.0000 0.0000 0.0000 H
```

---

(4)
VASP calculation (PBE) on Ti2MnTcH after structural relaxation.

## Properties
total DFT energy (no corrections): -8.078 eV per atom
density: 7.0 g cm⁻³
magnetization: 0.21 μB/atom

The structure in POSCAR format:
```
Ti2MnTcH
1.0
4.2897 0.0000 0.0000
0.0000 4.2897 0.0000
0.0000 0.0000 3.2355
Ti Mn Tc H
2 1 1 1
Direct
0.0000 0.5000 0.0000 Ti
0.5000 0.0000 0.0000 Ti
0.0000 0.0000 0.5000 Mn
0.5000 0.5000 0.5000 Tc
0.0000 0.0000 0.0000 H
```